A geometry-optimized PmDy4N5 structure, computed with PBE.

Output
crystal system: tetragonal
electronic total energy: -162.35 eV per cell
total moment: 0.00 Bohr magnetons per cell
energy relative to the elements, uncorrected: -1.64 eV/atom
mass density: 9.4 g cm⁻³

Cell and atoms, written as CIF:
```
data_PmDy4N5
_cell_length_a 3.505
_cell_length_b 3.505
_cell_length_c 24.767
_cell_angle_alpha 90.00
_cell_angle_beta 90.00
_cell_angle_gamma 90.00
_space_group_name_H-M_alt 'I 4/m m m'
_space_group_IT_number 139
_space_group_name_Hall '-I 4 2'
loop_
_atom_site_label
_atom_site_type_symbol
_atom_site_fract_x
_atom_site_fract_y
_atom_site_fract_z
_atom_site_occupancy
Pm1 Pm 0.000 0.000 0.000 1
Dy1 Dy 0.000 0.000 0.201 1
Dy2 Dy 0.000 0.000 0.398 1
N1 N 0.000 0.000 0.103 1
N2 N 0.000 0.000 0.300 1
N3 N 0.000 0.000 0.500 1
```